Record 1
The following is a DFT calculation (GGA-PBE) of ZrTl3Sn2Se6 after structural relaxation.

Lattice parameters (Å, degrees): 7.2383 7.2383 7.9548 98.64 98.64 119.79
Closest atoms and distances in Å follow each position.
Atoms (fractional coordinates):
Se 0.9337 0.6208 0.7994  1 Zr 2.73, 2 Sn 2.92
Se 0.2442 0.2442 0.7954  1 Zr 2.74, 2 Sn 2.94
Se 0.6208 0.9337 0.7994  1 Zr 2.73, 2 Sn 2.92
Se 0.7558 0.7558 0.2046  1 Zr 2.74, 2 Sn 2.94
Se 0.0663 0.3792 0.2006  1 Zr 2.73, 2 Sn 2.92
Se 0.3792 0.0663 0.2006  1 Zr 2.73, 2 Sn 2.92
Tl 0.1702 0.8298 0.5000  6 Se 3.26-3.40
Tl 0.8298 0.1702 0.5000  6 Se 3.26-3.40
Tl 0.5000 0.5000 0.5000  6 Se 3.27-3.40
Sn 0.3337 0.6663 0.0000  6 Se 2.92-2.94
Sn 0.6663 0.3337 0.0000  6 Se 2.92-2.94
Zr 0.0000 0.0000 0.0000  6 Se 2.73-2.74

Calculated total energy   -4.380 eV/atom
Space group   C2/m, No. 12
Formation energy from raw total energies   -667 meV/atom

---

Record 2
The following is a DFT calculation (GGA-PBE) of ZrTl3Sn3Se8 after structural relaxation.

Lattice parameters (Å, degrees): 8.1626 8.1430 9.1066 116.55 90.00 120.08
Closest atoms and distances in Å follow each position.
Atoms (fractional coordinates):
Se 0.7464 0.9718 0.6976  1 Zr 2.73, 2 Sn 2.85-2.86
Se 0.2618 0.5236 0.2858  3 Sn 2.88-2.89
Se 0.7742 0.5483 0.3025  1 Zr 2.73, 2 Sn 2.85
Se 0.2258 0.4517 0.6975  1 Zr 2.73, 2 Sn 2.85
Se 0.7746 0.0282 0.3024  1 Zr 2.73, 2 Sn 2.85-2.86
Se 0.2536 0.0282 0.3024  1 Zr 2.73, 2 Sn 2.85-2.86
Se 0.2254 0.9718 0.6976  1 Zr 2.73, 2 Sn 2.85-2.86
Se 0.7382 0.4764 0.7142  3 Sn 2.88-2.89
Sn 0.5000 0.5000 0.5000  6 Se 2.85-2.89
Sn 0.5000 0.0000 0.5000  6 Se 2.86-2.88
Sn 0.0000 0.5000 0.5000  6 Se 2.85-2.89
Zr 0.0000 0.0000 0.5000  6 Se 2.73
Tl 0.0000 0.0000 0.0000  6 Se 3.24-3.30
Tl 0.5000 0.5000 0.0000  6 Se 3.24-3.30
Tl 0.0000 0.5000 0.0000  6 Se 3.24-3.30

Calculated total energy   -4.298 eV/atom
Space group   C2/m, No. 12
Formation energy from raw total energies   -596 meV/atom

---

Number 1: M_tot 0.0 μB/cell. Number 2: M_tot 0.0 μB/cell.